# 1
A plane-wave DFT calculation with PBE+U was carried out for a geometry-optimized Rb3LiErV2O8 structure.

Results
Calculated density = 4285 kg/m³
Offset from the most stable computed form = 0 meV per atom
Space-group type = P1
Electronic total energy = -97.06 eV per cell

a b c (Å): 6.079 6.142 7.922
angles (deg): 83.15 85.51 60.67
Element x y z (fractional)
1 Rb 0.000 0.000 0.000
2 Rb 0.311 0.283 0.365
3 Rb 0.681 0.516 0.645
4 Li 0.639 0.973 0.782
5 Er 0.639 0.647 0.165
6 V 0.302 0.351 0.930
7 V 0.971 0.939 0.427
8 O 0.291 0.794 0.363
9 O 0.358 0.293 0.715
10 O 0.452 0.511 0.015
11 O 0.493 0.012 0.017
12 O 0.825 0.254 0.339
13 O 0.826 0.784 0.351
14 O 0.929 0.939 0.646
15 O 0.969 0.503 0.998

---

# 2
A plane-wave DFT calculation with PBE+U was carried out for a geometry-optimized Rb3LiErV2O8 structure.

Results
Calculated density = 4044 kg/m³
Offset from the most stable computed form = 24 meV per atom
Space-group type = C2/m
Electronic total energy = -96.70 eV per cell

a b c (Å): 6.012 6.012 8.570
angles (deg): 93.23 93.23 61.34
Element x y z (fractional)
1 Rb 0.000 0.000 0.000
2 Rb 0.336 0.336 0.763
3 Rb 0.664 0.664 0.237
4 Li 0.500 0.500 0.500
5 Er 0.000 0.000 0.500
6 V 0.313 0.313 0.274
7 V 0.687 0.687 0.726
8 O 0.145 0.145 0.308
9 O 0.173 0.623 0.373
10 O 0.341 0.341 0.079
11 O 0.377 0.827 0.627
12 O 0.623 0.173 0.373
13 O 0.659 0.659 0.921
14 O 0.827 0.377 0.627
15 O 0.855 0.855 0.692

---

# 3
A plane-wave DFT calculation with PBE+U was carried out for a geometry-optimized Rb3LiErV2O8 structure.

Results
Calculated density = 4041 kg/m³
Offset from the most stable computed form = 88 meV per atom
Space-group type = P3m1
Electronic total energy = -95.75 eV per cell

a b c (Å): 5.953 5.953 8.843
angles (deg): 90.00 90.00 120.00
Element x y z (fractional)
1 Rb 0.000 0.000 0.000
2 Rb 0.333 0.667 0.537
3 Rb 0.667 0.333 0.345
4 Li 0.667 0.333 0.039
5 Er 0.667 0.333 0.760
6 V 0.000 0.000 0.537
7 V 0.333 0.667 0.004
8 O 0.000 0.000 0.346
9 O 0.324 0.162 0.600
10 O 0.333 0.667 0.200
11 O 0.504 0.008 0.931
12 O 0.504 0.496 0.931
13 O 0.838 0.162 0.600
14 O 0.838 0.676 0.600
15 O 0.992 0.496 0.931

---

Number 2 is which compound?
Rb3LiErV2O8